Below is crystalline ScMo3 at its relaxed geometry, with properties calculated at the GGA-PBEsol level.

## Properties
E_form: 2.77 kcal/mol of atoms
size of the total moment: 0.000 μB/cell

abc: 3.1866 4.5191 9.0508
angles: 90.00 90.00 90.00
Space group Cmmm (No. 65)
One atom of each set of equivalent atoms:
Sc (0.0000, 0.0000, 0.0000)
Mo (0.0000, 0.0000, 0.5000)
Mo (0.0000, 0.5000, 0.2645)

=====

Below is crystalline NaLiYTc2 at its relaxed geometry, with properties calculated at the GGA-PBEsol level.

## Properties
E_form: 47.17 kcal/mol of atoms
size of the total moment: 3.858 μB/cell

abc: 4.7171 4.7171 5.0164
angles: 90.00 90.00 90.00
Space group P4/mmm (No. 123)
One atom of each set of equivalent atoms:
Na (0.0000, 0.0000, 0.0000)
Li (0.5000, 0.5000, 0.5000)
Y (0.0000, 0.0000, 0.5000)
Tc (0.0000, 0.5000, 0.0000)

=====

Below is crystalline LaVSb3 at its relaxed geometry, with properties calculated at the GGA-PBEsol level.

## Properties
size of the total moment: 2.027 μB/cell
uncorrected formation energy: -612 meV per atom

abc: 13.2710 6.2577 5.9579
angles: 90.00 90.00 90.00
Space group Pbcm (No. 57)
One atom of each set of equivalent atoms:
La (0.1911, 0.9996, 0.2500)
V (0.4084, 0.2500, 0.0000)
Sb (0.0008, 0.2500, 0.0000)
Sb (0.2865, 0.5020, 0.2500)
Sb (0.4352, 0.6041, 0.7500)

=====

Below is crystalline KMgSb at its relaxed geometry, with properties calculated at the GGA-PBEsol level.

## Properties
size of the total moment: 0.000 μB/cell
uncorrected formation energy: 24 meV per atom

abc: 3.5728 3.5728 8.2820
angles: 90.00 90.00 120.00
Space group P3m1 (No. 156)
One atom of each set of equivalent atoms:
K (0.0000, 0.0000, 0.0000)
Mg (0.3333, 0.6667, 0.6135)
Sb (0.6667, 0.3333, 0.3430)

=====

Below is crystalline TaCrFe2 at its relaxed geometry, with properties calculated at the GGA-PBEsol level.

## Properties
E_form: 3.79 kcal/mol of atoms
size of the total moment: 6.073 μB/cell

abc: 3.1023 4.1298 7.8235
angles: 90.00 90.00 90.00
Space group Cmmm (No. 65)
One atom of each set of equivalent atoms:
Ta (0.0000, 0.0000, 0.0000)
Cr (0.0000, 0.0000, 0.5000)
Fe (0.0000, 0.5000, 0.2708)

=====

Below is crystalline ScSiTe at its relaxed geometry, with properties calculated at the GGA-PBEsol level.

## Properties
size of the total moment: 0.001 μB/cell
uncorrected formation energy: -17 meV per atom

abc: 6.5828 6.5828 6.5828
angles: 90.00 90.00 90.00
Space group F-43m (No. 216)
One atom of each set of equivalent atoms:
Sc (0.0000, 0.0000, 0.0000)
Si (0.2500, 0.2500, 0.2500)
Te (0.0000, 0.0000, 0.5000)

=====

Below is crystalline B5SbO10 at its relaxed geometry, with properties calculated at the GGA-PBEsol level.

## Properties
size of the total moment: 0.001 μB/cell
uncorrected formation energy: -2033 meV per atom

abc: 7.1575 14.5704 7.1785
angles: 90.00 98.43 90.00
Space group P2_1/c (No. 14)
One atom of each set of equivalent atoms:
B (0.0515, 0.2343, 0.0062)
B (0.1763, 0.6099, 0.4757)
B (0.2556, 0.0019, 0.7463)
B (0.2599, 0.7263, 0.9683)
B (0.3004, 0.0435, 0.0644)
Sb (0.3625, 0.1293, 0.4546)
O (0.0142, 0.1440, 0.0039)
O (0.0714, 0.6990, 0.9504)
O (0.1698, 0.5764, 0.2803)
O (0.2273, 0.2411, 0.4557)
O (0.2272, 0.5364, 0.6116)
O (0.2759, 0.0197, 0.5560)
O (0.3136, 0.6867, 0.5039)
O (0.3316, 0.0637, 0.8812)
O (0.3832, 0.1077, 0.1994)
O (0.3854, 0.6547, 0.9435)

=====

Below is crystalline BaYPb2 at its relaxed geometry, with properties calculated at the GGA-PBEsol level.

## Properties
E_form: -3.99 kcal/mol of atoms
size of the total moment: 0.000 μB/cell

abc: 4.3850 4.3850 7.1850
angles: 90.00 90.00 90.00
Space group P4mm (No. 99)
One atom of each set of equivalent atoms:
Ba (0.0000, 0.0000, 0.0000)
Y (0.5000, 0.5000, 0.6467)
Pb (0.0000, 0.0000, 0.5236)
Pb (0.5000, 0.5000, 0.2357)

=====

Below is crystalline LiScPt2 at its relaxed geometry, with properties calculated at the GGA-PBEsol level.

## Properties
E_form: -22.11 kcal/mol of atoms
size of the total moment: 0.000 μB/cell

abc: 3.2525 3.2525 5.7157
angles: 90.00 90.00 90.00
Space group P4/mmm (No. 123)
One atom of each set of equivalent atoms:
Li (0.0000, 0.0000, 0.0000)
Sc (0.0000, 0.0000, 0.5000)
Pt (0.5000, 0.5000, 0.2381)

=====

Below is crystalline KCr2Co at its relaxed geometry, with properties calculated at the GGA-PBEsol level.

## Properties
E_form: 37.69 kcal/mol of atoms
size of the total moment: 3.213 μB/cell

abc: 4.8458 9.6815 2.4228
angles: 90.00 90.00 90.00
Space group Cmmm (No. 65)
One atom of each set of equivalent atoms:
K (0.0000, 0.0000, 0.0000)
Cr (0.2500, 0.2500, 0.5000)
Co (0.0000, 0.5000, 0.0000)

=====

Below is crystalline Zr2ReIr at its relaxed geometry, with properties calculated at the GGA-PBEsol level.

## Properties
E_form: -14.13 kcal/mol of atoms
size of the total moment: 0.000 μB/cell

abc: 3.2825 3.2825 6.4349
angles: 90.00 90.00 90.00
Space group P4/mmm (No. 123)
One atom of each set of equivalent atoms:
Zr (0.0000, 0.0000, 0.2472)
Re (0.5000, 0.5000, 0.0000)
Ir (0.5000, 0.5000, 0.5000)

=====

Below is crystalline ZrCr2Tc at its relaxed geometry, with properties calculated at the GGA-PBEsol level.

## Properties
E_form: 3.14 kcal/mol of atoms
size of the total moment: 0.444 μB/cell

abc: 3.0797 4.3036 4.3519
angles: 90.00 90.00 90.00
Space group Pmmm (No. 47)
One atom of each set of equivalent atoms:
Zr (0.0000, 0.0000, 0.0000)
Cr (0.0000, 0.5000, 0.5000)
Cr (0.5000, 0.0000, 0.5000)
Tc (0.5000, 0.5000, 0.0000)

=====

We obtain N(E_F) values of 7.51, 6.38, 12.38, 1.99, 7.71, 14.14, 0.00, 4.03, 1.37, 10.70, 1.31, 3.12 states/eV/cell for the records listed above, in that order.